Entry 1:
Mg4In3Rh | GGA-PBE | relaxed

E_form ... -1.64 eV per formula unit
Symmetry ... P4/mmm
Calculated total energy ... -23.6 eV/f.u.

a b c (Å): 3.3715 3.3715 14.6191
angles (deg): 90.00 90.00 90.00
Last column: nearest neighbours and their distance in Å.
Atoms (fractional coordinates):
Mg 0.0000 0.0000 0.0942  4 Rh 2.75, 1 Mg 2.76, 4 In 3.07
Mg 0.0000 0.0000 0.3620  8 In 3.10-3.12, 4 Mg 3.37
Mg 0.0000 0.0000 0.6380  8 In 3.10-3.12, 4 Mg 3.37
Mg 0.0000 0.0000 0.9058  4 Rh 2.75, 1 Mg 2.76, 4 In 3.07
In 0.5000 0.5000 0.2266  8 Mg 3.07-3.10, 1 Rh 3.31, 4 In 3.37
In 0.5000 0.5000 0.5000  8 Mg 3.12, 4 In 3.37
In 0.5000 0.5000 0.7734  8 Mg 3.07-3.10, 1 Rh 3.31, 4 In 3.37
Rh 0.5000 0.5000 0.0000  8 Mg 2.75


Entry 2:
MgInRh2 | GGA-PBE | relaxed

E_form ... -1.00 eV per formula unit
Symmetry ... Pmm2
Calculated total energy ... -20.0 eV/f.u.

a b c (Å): 2.9556 4.0362 5.5735
angles (deg): 90.00 90.00 90.00
Last column: nearest neighbours and their distance in Å.
Atoms (fractional coordinates):
Mg 0.0000 0.0000 0.0000  6 Rh 2.65-2.92, 2 Mg 2.96
In 0.5000 0.5000 0.6890  6 Rh 2.77-2.80, 2 In 2.96, 4 Mg 3.04
Rh 0.0000 0.0000 0.4760  2 Mg 2.65-2.92, 4 In 2.77, 6 Rh 2.96
Rh 0.5000 0.5000 0.1914  4 Mg 2.72, 2 In 2.77-2.80, 6 Rh 2.96


Entry 3:
MgIn2Rh3 | GGA-PBE | relaxed

Relative energy among the computed polymorphs ... 18 meV/atom
E_form ... -2.97 eV per formula unit
Symmetry ... P4/mmm
Calculated total energy ... -32.1 eV/f.u.

a b c (Å): 3.2034 3.2034 9.5511
angles (deg): 90.00 90.00 90.00
Last column: nearest neighbours and their distance in Å.
Atoms (fractional coordinates):
Mg 0.0000 0.0000 0.0000  8 Rh 2.74
In 0.0000 0.0000 0.3270  8 Rh 2.76-2.80
In 0.0000 0.0000 0.6730  8 Rh 2.76-2.80
Rh 0.5000 0.5000 0.1623  4 Mg 2.74, 4 In 2.76
Rh 0.5000 0.5000 0.5000  8 In 2.80
Rh 0.5000 0.5000 0.8377  4 Mg 2.74, 4 In 2.76